[1]
Computed, not measured: a relaxed structure of LiPuC2O8 at the PBE-GGA level of DFT.

The structure in extended XYZ format:
```
12
Lattice="4.395 -2.655 0.000 4.395 2.655 0.000 -2.234 0.000 7.046" Properties=species:S:1:pos:R:3 pbc="T T T"
Li 0.000 0.000 0.000
Pu -1.117 0.000 3.523
C 2.732 0.000 1.506
C 3.824 0.000 5.540
O 0.645 0.000 3.551
O 1.720 0.000 0.786
O 3.327 1.112 1.892
O 3.229 1.112 5.154
O 3.327 -1.112 1.892
O 3.229 -1.112 5.154
O 4.836 0.000 6.259
O 5.911 0.000 3.495
```

Summary:
total energy	-0.5807	Ry per atom
M_tot	0.9	μB/f.u.
N(E_F)	5.1	states/eV/f.u.

---

[2]
Computed, not measured: a relaxed structure of SnBiPtO6 at the PBE-GGA level of DFT.

The structure in extended XYZ format:
```
18
Lattice="4.895 0.000 0.000 0.000 4.895 0.000 0.000 0.000 9.974" Properties=species:S:1:pos:R:3 pbc="T T T"
Sn 0.000 0.000 0.000
Sn 2.448 2.448 4.987
Bi 0.000 0.000 3.301
Bi 2.448 2.448 8.288
Pt 0.000 0.000 6.632
Pt 2.448 2.448 1.645
O 0.869 0.869 8.259
O 0.946 0.946 5.096
O 1.002 1.002 1.577
O 1.446 3.449 6.565
O 1.502 3.393 0.109
O 1.578 3.317 3.271
O 3.317 1.578 3.271
O 3.393 1.502 0.109
O 3.449 1.446 6.565
O 3.894 3.894 1.577
O 3.950 3.950 5.096
O 4.026 4.026 8.259
```

Summary:
total energy	-0.4295	Ry per atom
M_tot	0.0	μB/f.u.
N(E_F)	1.9	states/eV/f.u.

---

[3]
Computed, not measured: a relaxed structure of TiReB2 at the PBE-GGA level of DFT.

The structure in extended XYZ format:
```
4
Lattice="0.000 2.757 2.757 2.757 0.000 2.757 2.757 2.757 0.000" Properties=species:S:1:pos:R:3 pbc="T T T"
Ti 0.000 0.000 0.000
Re 2.757 2.757 2.757
B 1.378 1.378 1.378
B 4.135 4.135 4.135
```

Summary:
ΔE_f	-7	meV/atom
M_tot	0.0	μB/f.u.
N(E_F)	1.8	states/eV/f.u.

---

[4]
Computed, not measured: a relaxed structure of ErPaCuIr at the PBE-GGA level of DFT.

The structure in extended XYZ format:
```
4
Lattice="0.000 3.442 3.442 3.442 0.000 3.442 3.442 3.442 0.000" Properties=species:S:1:pos:R:3 pbc="T T T"
Er 0.000 0.000 0.000
Pa 3.442 3.442 3.442
Cu 1.721 1.721 1.721
Ir 5.163 5.163 5.163
```

Summary:
ΔE_f	-411	meV/atom
M_tot	0.2	μB/f.u.
N(E_F)	5.6	states/eV/f.u.